No. 1
# TmMgPb4

A geometry-optimized TmMgPb4 structure (PBE-GGA, Alexandria via LeMat-Bulk).

Lattice parameters (Å, degrees): 5.909 5.909 9.814 90.00 89.91 90.00
Fractional positions:
Tm 0.000 0.000 0.000
Tm 0.500 0.500 0.000
Mg 0.500 0.000 0.500
Mg 0.000 0.500 0.500
Pb 0.000 0.501 0.166
Pb 0.500 0.001 0.834
Pb 0.499 0.498 0.337
Pb 0.001 0.998 0.663
Pb 0.000 0.499 0.834
Pb 0.500 0.999 0.166
Pb 0.501 0.502 0.663
Pb 0.999 0.002 0.337

Properties
The calculated volume comes out at 28.56 A^3/atom. The energy of formation comes out at -0.07 eV per atom. As for the space group: P2_1/c. The value obtained for the density of states at the Fermi level is 0.797 states/eV per atom.

---

No. 2
# IrRh2

A geometry-optimized IrRh2 structure (PBE-GGA, Alexandria via LeMat-Bulk).

Lattice parameters (Å, degrees): 4.365 4.365 5.354 90.00 90.00 120.00
Fractional positions:
Ir 0.333 0.667 0.250
Ir 0.667 0.333 0.750
Rh 0.000 0.000 0.000
Rh 0.000 0.000 0.500
Rh 0.333 0.667 0.750
Rh 0.667 0.333 0.250

Properties
The calculated volume comes out at 14.72 A^3/atom. The energy of formation comes out at 0.25 eV per atom. The energy relative to the lowest polymorph listed for this composition is 266 meV/atom. As for the space group: P6_3/mmc. The value obtained for the density of states at the Fermi level is 1.895 states/eV per atom.

---

No. 3
# Ba2Mg4Sn3Sb

A geometry-optimized Ba2Mg4Sn3Sb structure (PBE-GGA, Alexandria via LeMat-Bulk).

Lattice parameters (Å, degrees): 4.998 4.998 11.978 90.00 90.00 90.00
Fractional positions:
Ba 0.500 0.000 0.255
Ba 0.000 0.500 0.745
Mg 0.500 0.500 0.000
Mg 0.000 0.000 0.000
Mg 0.500 0.000 0.630
Mg 0.000 0.500 0.370
Sn 0.000 0.000 0.500
Sn 0.500 0.000 0.865
Sn 0.000 0.500 0.135
Sb 0.500 0.500 0.500

Properties
The calculated volume comes out at 29.92 A^3/atom. For the formation energy (no corrections), the calculation gives -0.514 eV per atom. As for the space group: P-4m2. The value obtained for the density of states at the Fermi level is 0.234 states/eV per atom.

---

No. 4
# TmMgAl2

A geometry-optimized TmMgAl2 structure (PBE-GGA, Alexandria via LeMat-Bulk).

Lattice parameters (Å, degrees): 3.406 3.406 7.140 90.00 90.00 90.00
Fractional positions:
Mg 0.500 0.500 0.000
Tm 0.500 0.500 0.500
Al 0.000 0.000 0.774
Al 0.000 0.000 0.226

Properties
The calculated volume comes out at 20.71 A^3/atom. The energy of formation comes out at -0.18 eV per atom. The energy relative to the lowest polymorph listed for this composition is 129 meV/atom. As for the space group: P4/mmm. The value obtained for the density of states at the Fermi level is 0.692 states/eV per atom.

---

No. 5
# WBr4

A geometry-optimized WBr4 structure (PBE-GGA, Alexandria via LeMat-Bulk).

Lattice parameters (Å, degrees): 11.579 11.579 11.579 161.52 161.52 26.26
Fractional positions:
W 0.000 0.000 0.000
Br 0.750 0.250 0.500
Br 0.250 0.750 0.500
Br 0.569 0.569 0.000
Br 0.431 0.431 0.000

Properties
The calculated volume comes out at 31.20 A^3/atom. For the formation energy (no corrections), the calculation gives 0.897 eV per atom. As for the space group: I4/mmm. The value obtained for the density of states at the Fermi level is 0.871 states/eV per atom.

---

No. 6
# Tm4TlIn2

A geometry-optimized Tm4TlIn2 structure (PBE-GGA, Alexandria via LeMat-Bulk).

Lattice parameters (Å, degrees): 7.276 6.700 8.859 90.00 112.53 90.00
Fractional positions:
Tm 0.609 0.489 0.233
Tm 0.939 0.750 0.745
Tm 0.061 0.250 0.255
Tm 0.609 0.011 0.233
Tm 0.950 0.250 0.584
Tm 0.391 0.989 0.767
Tm 0.391 0.511 0.767
Tm 0.050 0.750 0.416
Tl 0.222 0.750 0.103
Tl 0.778 0.250 0.897
In 0.786 0.750 0.030
In 0.214 0.250 0.970
In 0.492 0.250 0.511
In 0.508 0.750 0.489

Properties
The calculated volume comes out at 28.49 A^3/atom. The energy of formation comes out at -0.17 eV per atom. The energy relative to the lowest polymorph listed for this composition is 60 meV/atom. As for the space group: P2_1/m. The value obtained for the density of states at the Fermi level is 0.669 states/eV per atom.

---

No. 7
# HoTm2PuS4

A geometry-optimized HoTm2PuS4 structure (PBE-GGA, Alexandria via LeMat-Bulk).

Lattice parameters (Å, degrees): 3.864 6.723 6.731 109.18 90.00 90.00
Fractional positions:
Ho 0.000 0.000 0.000
Tm 0.500 0.000 0.500
Tm 0.000 0.500 0.500
Pu 0.500 0.500 0.000
S 0.500 0.249 0.256
S 0.500 0.751 0.744
S 0.000 0.245 0.742
S 0.000 0.755 0.258

Properties
The calculated volume comes out at 20.64 A^3/atom. For the formation energy (no corrections), the calculation gives -1.928 eV per atom. As for the space group: P2/m. The value obtained for the density of states at the Fermi level is 0.896 states/eV per atom.

---

No. 8
# YFe2Tc

A geometry-optimized YFe2Tc structure (PBE-GGA, Alexandria via LeMat-Bulk).

Lattice parameters (Å, degrees): 3.055 3.055 6.882 90.00 90.00 90.00
Fractional positions:
Fe 0.000 0.000 0.060
Fe 0.500 0.500 0.242
Tc 0.000 0.000 0.439
Y 0.500 0.500 0.759

Properties
The calculated volume comes out at 16.05 A^3/atom. The energy of formation comes out at 0.20 eV per atom. The energy relative to the lowest polymorph listed for this composition is 86 meV/atom. As for the space group: P4mm. The value obtained for the density of states at the Fermi level is 0.886 states/eV per atom.

---

No. 9
# CuSiPt

A geometry-optimized CuSiPt structure (PBE-GGA, Alexandria via LeMat-Bulk).

Lattice parameters (Å, degrees): 4.137 4.137 2.864 90.00 90.00 120.00
Fractional positions:
Cu 0.000 0.000 0.000
Pt 0.667 0.333 0.500
Si 0.333 0.667 0.501

Properties
The calculated volume comes out at 14.15 A^3/atom. For the formation energy (no corrections), the calculation gives -0.321 eV per atom. As for the space group: P-6m2. The value obtained for the density of states at the Fermi level is 0.345 states/eV per atom.

---

No. 10
# Li2TbY3Se6

A geometry-optimized Li2TbY3Se6 structure (PBE-GGA, Alexandria via LeMat-Bulk).

Lattice parameters (Å, degrees): 7.004 7.004 7.023 99.58 99.58 119.99
Fractional positions:
Li 0.332 0.668 0.000
Li 0.668 0.332 0.000
Tb 0.000 0.000 0.000
Y 0.166 0.834 0.500
Y 0.834 0.166 0.500
Y 0.500 0.500 0.500
Se 0.919 0.580 0.757
Se 0.741 0.741 0.243
Se 0.081 0.420 0.243
Se 0.580 0.919 0.757
Se 0.259 0.259 0.757
Se 0.420 0.081 0.243

Properties
The calculated volume comes out at 23.45 A^3/atom. For the formation energy (no corrections), the calculation gives -1.742 eV per atom. As for the space group: C2/m. The value obtained for the density of states at the Fermi level is 0.231 states/eV per atom.

---

No. 11
# Tm5PaCd4

A geometry-optimized Tm5PaCd4 structure (PBE-GGA, Alexandria via LeMat-Bulk).

Lattice parameters (Å, degrees): 3.575 3.575 20.062 90.00 90.00 90.00
Fractional positions:
Tm 0.500 0.500 0.108
Tm 0.500 0.500 0.307
Tm 0.500 0.500 0.500
Tm 0.500 0.500 0.693
Tm 0.500 0.500 0.892
Pa 0.000 0.000 0.000
Cd 0.000 0.000 0.208
Cd 0.000 0.000 0.405
Cd 0.000 0.000 0.595
Cd 0.000 0.000 0.792

Properties
The calculated volume comes out at 25.64 A^3/atom. The energy of formation comes out at -0.19 eV per atom. As for the space group: P4/mmm. The value obtained for the density of states at the Fermi level is 1.052 states/eV per atom.

---

No. 12
# ZrSb2PdI

A geometry-optimized ZrSb2PdI structure (PBE-GGA, Alexandria via LeMat-Bulk).

Lattice parameters (Å, degrees): 5.562 5.562 5.617 90.00 90.00 90.00
Fractional positions:
I 0.000 0.000 0.500
Sb 0.000 0.500 0.000
Sb 0.500 0.000 0.000
Zr 0.000 0.000 0.000
Pd 0.500 0.500 0.500

Properties
The calculated volume comes out at 34.75 A^3/atom. The energy relative to the lowest polymorph listed for this composition is 20 meV/atom. For the formation energy (no corrections), the calculation gives 0.485 eV per atom. As for the space group: P4/mmm. The value obtained for the density of states at the Fermi level is 0.948 states/eV per atom.